# La6Nd2Th3 | Alexandria | PBE | relaxed
data_La6Nd2Th3
_cell_length_a 6.0736
_cell_length_b 11.4931
_cell_length_c 11.4859
_cell_angle_alpha 90.00
_cell_angle_beta 99.56
_cell_angle_gamma 90.00
_space_group_name_H-M_alt 'C 1 2/m 1'
_space_group_IT_number 12
loop_
_space_group_symop_operation_xyz
'x,y,z'
'-x,-y,-z'
'-x,y,-z'
'x,-y,z'
'x+1/2,y+1/2,z'
'-x+1/2,-y+1/2,-z'
'-x+1/2,y+1/2,-z'
'x+1/2,-y+1/2,z'
loop_
_atom_site_label
_atom_site_type_symbol
_atom_site_fract_x
_atom_site_fract_y
_atom_site_fract_z
La1 La 0.0609 0.1552 0.2252
La2 La 0.0806 0.5000 0.2722
Nd1 Nd 0.0000 0.3562 0.0000
Th1 Th 0.0000 0.0000 0.5000
Th2 Th 0.0000 0.3218 0.5000
# Crystal system   monoclinic
# Size of the total moment   0.00 μB/cell
# DFT formation energy   0.16 eV per atom
# Volume   35.9 Å³ per atom
# Energy   -119.3 eV for the cell shown

=====

# Mo2Pt | Alexandria | PBE | relaxed
data_Mo2Pt
_cell_length_a 2.7035
_cell_length_b 2.7035
_cell_length_c 26.4323
_cell_angle_alpha 90.00
_cell_angle_beta 90.00
_cell_angle_gamma 90.00
_space_group_name_H-M_alt 'I 41/a m d'
_space_group_IT_number 141
loop_
_space_group_symop_operation_xyz
'x,y,z'
'-x,-y,-z'
'-y+1/4,x+3/4,z+1/4'
'y+1/4,-x+3/4,-z+1/4'
'-x+1/2,-y,z+1/2'
'x+1/2,y,-z+1/2'
'y+1/4,-x+1/4,z+3/4'
'-y+1/4,x+1/4,-z+3/4'
'x,-y,-z'
'-x,y,z'
'-y+1/4,-x+1/4,-z+3/4'
'y+1/4,x+1/4,z+3/4'
'-x+1/2,y,-z+1/2'
'x+1/2,-y,z+1/2'
'y+1/4,x+3/4,-z+1/4'
'-y+1/4,-x+3/4,z+1/4'
'x+1/2,y+1/2,z+1/2'
'-x+1/2,-y+1/2,-z+1/2'
'-y+3/4,x+1/4,z+3/4'
'y+3/4,-x+1/4,-z+3/4'
'-x,-y+1/2,z'
'x,y+1/2,-z'
'y+3/4,-x+3/4,z+1/4'
'-y+3/4,x+3/4,-z+1/4'
'x+1/2,-y+1/2,-z+1/2'
'-x+1/2,y+1/2,z+1/2'
'-y+3/4,-x+3/4,-z+1/4'
'y+3/4,x+3/4,z+1/4'
'-x,y+1/2,-z'
'x,-y+1/2,z'
'y+3/4,x+1/4,-z+3/4'
'-y+3/4,-x+1/4,z+3/4'
loop_
_atom_site_label
_atom_site_type_symbol
_atom_site_fract_x
_atom_site_fract_y
_atom_site_fract_z
Mo1 Mo 0.0000 0.2500 0.2957
Pt1 Pt 0.0000 0.2500 0.8750
# Crystal system   tetragonal
# Size of the total moment   0.00 μB/cell
# DFT formation energy   0.10 eV per atom
# Volume   16.1 Å³ per atom
# Energy   -109.7 eV for the cell shown

=====

# LiAsW | Alexandria | PBE | relaxed
data_LiAsW
_cell_length_a 4.4281
_cell_length_b 4.4281
_cell_length_c 2.7264
_cell_angle_alpha 90.00
_cell_angle_beta 90.00
_cell_angle_gamma 120.00
_space_group_name_H-M_alt 'P -6 m 2'
_space_group_IT_number 187
_space_group_name_Hall 'P -6 2'
loop_
_atom_site_label
_atom_site_type_symbol
_atom_site_fract_x
_atom_site_fract_y
_atom_site_fract_z
Li1 Li 0.0000 0.0000 0.0000
As1 As 0.3333 0.6667 0.5000
W1 W 0.6667 0.3333 0.5000
# Crystal system   hexagonal
# Size of the total moment   0.00 μB/cell
# DFT formation energy   0.22 eV per atom
# Volume   15.4 Å³ per atom
# Energy   -18.9 eV for the cell shown

=====

Q: The lowest volume belongs to which entry?
A: LiAsW